LaYHoTm3 | PBE | relaxed

## Properties
The value obtained for the formation energy is 0.04 eV/atom.

Unit cell a=7.954 b=7.954 c=10.055 alpha=90.00 beta=90.00 gamma=143.13
Fractional positions:
La (0.001, 0.999, 0.750)
La (0.999, 0.001, 0.250)
Y (0.330, 0.670, 0.750)
Y (0.670, 0.330, 0.250)
Ho (0.500, 0.500, 0.000)
Ho (0.500, 0.500, 0.500)
Tm (0.168, 0.832, 0.000)
Tm (0.168, 0.832, 0.500)
Tm (0.331, 0.669, 0.250)
Tm (0.669, 0.331, 0.750)
Tm (0.832, 0.168, 0.000)
Tm (0.832, 0.168, 0.500)



TbNd2Ho4Tm | PBE | relaxed

## Properties
The value obtained for the formation energy is 0.43 eV/atom.

Unit cell a=9.499 b=9.499 c=9.499 alpha=138.09 beta=103.24 gamma=91.54
Fractional positions:
Tb (0.000, 0.000, 0.000)
Tb (0.500, 0.000, 0.500)
Nd (0.000, 0.500, 0.500)
Nd (0.500, 0.000, 0.000)
Nd (0.500, 0.500, 0.000)
Nd (0.500, 0.500, 0.500)
Ho (0.244, 0.249, 0.995)
Ho (0.245, 0.244, 0.499)
Ho (0.245, 0.746, 0.001)
Ho (0.246, 0.751, 0.495)
Ho (0.754, 0.249, 0.505)
Ho (0.755, 0.254, 0.999)
Ho (0.755, 0.756, 0.501)
Ho (0.756, 0.751, 0.005)
Tm (0.000, 0.000, 0.500)
Tm (0.000, 0.500, 0.000)



MnAsBr2 | PBE | relaxed

## Properties
Its energy relative to the elements, uncorrected is 0.003 eV/atom. As for the polymorph energy (0 for the lowest one): 231 meV per atom.

Unit cell a=10.231 b=10.231 c=10.231 alpha=20.26 beta=20.26 gamma=20.26
Fractional positions:
Mn (0.000, 0.000, 0.000)
As (0.500, 0.500, 0.500)
Br (0.279, 0.279, 0.279)
Br (0.721, 0.721, 0.721)



Ac3PuSe4 | PBE | relaxed

## Properties
Its energy relative to the elements, uncorrected is -1.769 eV/atom. As for the polymorph energy (0 for the lowest one): 0 meV per atom.

Unit cell a=7.629 b=7.629 c=4.383 alpha=90.00 beta=90.00 gamma=109.28
Fractional positions:
Ac (0.000, 0.000, 0.000)
Ac (0.000, 0.500, 0.500)
Ac (0.500, 0.000, 0.500)
Pu (0.500, 0.500, 0.000)
Se (0.257, 0.743, 0.000)
Se (0.264, 0.264, 0.500)
Se (0.736, 0.736, 0.500)
Se (0.743, 0.257, 0.000)



SbW2Br | PBE | relaxed

## Properties
Its energy relative to the elements, uncorrected is 0.200 eV/atom. As for the polymorph energy (0 for the lowest one): 0 meV per atom.

Unit cell a=3.175 b=8.991 c=8.991 alpha=21.45 beta=90.00 gamma=90.00
Fractional positions:
Sb (0.000, 0.000, 0.000)
W (0.000, 0.817, 0.817)
W (0.500, 0.393, 0.393)
Br (0.500, 0.700, 0.700)



CuH3Pd3 | PBE | relaxed

## Properties
As for the polymorph energy (0 for the lowest one): 2 meV per atom.

Unit cell a=5.245 b=5.245 c=5.245 alpha=90.00 beta=90.00 gamma=90.00
Fractional positions:
Cu (0.000, 0.000, 0.000)
Cu (0.500, 0.500, 0.500)
H (0.000, 0.250, 0.500)
H (0.000, 0.750, 0.500)
H (0.250, 0.500, 0.000)
H (0.500, 0.000, 0.250)
H (0.500, 0.000, 0.750)
H (0.750, 0.500, 0.000)
Pd (0.000, 0.500, 0.250)
Pd (0.000, 0.500, 0.750)
Pd (0.250, 0.000, 0.500)
Pd (0.500, 0.250, 0.000)
Pd (0.500, 0.750, 0.000)
Pd (0.750, 0.000, 0.500)



CaMnPb2 | PBE | relaxed

## Properties
The value obtained for the formation energy is 0.08 eV/atom.

Unit cell a=7.995 b=7.995 c=7.995 alpha=29.57 beta=29.57 gamma=29.57
Fractional positions:
Ca (0.000, 0.000, 0.000)
Mn (0.500, 0.500, 0.500)
Pb (0.233, 0.233, 0.233)
Pb (0.767, 0.767, 0.767)



Co2PPt | PBE | relaxed

## Properties
The value obtained for the formation energy is -0.14 eV/atom.

Unit cell a=4.268 b=4.268 c=4.694 alpha=92.21 beta=92.21 gamma=38.08
Fractional positions:
Co (0.000, 0.000, 0.000)
Co (0.711, 0.711, 0.736)
P (0.275, 0.275, 0.075)
Pt (0.432, 0.432, 0.492)



HfMn2Os | PBE | relaxed

## Properties
The value obtained for the formation energy is 0.03 eV/atom. As for the polymorph energy (0 for the lowest one): 0 meV per atom.

Unit cell a=4.319 b=4.319 c=4.319 alpha=60.00 beta=60.00 gamma=60.00
Fractional positions:
Hf (0.000, 0.000, 0.000)
Mn (0.250, 0.250, 0.250)
Mn (0.750, 0.750, 0.750)
Os (0.500, 0.500, 0.500)



PbS2F | PBE | relaxed

## Properties
Its energy relative to the elements, uncorrected is -0.178 eV/atom. As for the polymorph energy (0 for the lowest one): 537 meV per atom.

Unit cell a=7.645 b=7.645 c=7.645 alpha=29.40 beta=29.40 gamma=29.40
Fractional positions:
Pb (0.000, 0.000, 0.000)
S (0.407, 0.407, 0.407)
S (0.593, 0.593, 0.593)
F (0.500, 0.500, 0.500)



Na3Li4Tl4 | PBE | relaxed

## Properties
The value obtained for the formation energy is -0.14 eV/atom. As for the polymorph energy (0 for the lowest one): 0 meV per atom.

Unit cell a=3.552 b=3.939 c=18.968 alpha=95.75 beta=94.88 gamma=90.06
Fractional positions:
Na (0.000, 0.000, 0.000)
Na (0.364, 0.365, 0.720)
Na (0.636, 0.635, 0.280)
Li (0.086, 0.084, 0.175)
Li (0.276, 0.275, 0.542)
Li (0.724, 0.725, 0.458)
Li (0.914, 0.916, 0.825)
Tl (0.184, 0.183, 0.382)
Tl (0.449, 0.451, 0.896)
Tl (0.551, 0.549, 0.104)
Tl (0.816, 0.817, 0.618)



CdAs2Se | PBE | relaxed

## Properties
Its energy relative to the elements, uncorrected is 0.231 eV/atom. As for the polymorph energy (0 for the lowest one): 346 meV per atom.

Unit cell a=2.918 b=4.807 c=6.233 alpha=90.00 beta=90.17 gamma=90.00
Fractional positions:
Cd (0.000, 0.000, 0.000)
As (0.500, 0.500, 0.214)
As (0.500, 0.500, 0.786)
Se (0.500, 0.000, 0.500)



Pm3AlGe4 | PBE | relaxed

## Properties
The value obtained for the formation energy is -0.62 eV/atom.

Unit cell a=8.423 b=8.423 c=8.423 alpha=149.34 beta=138.63 gamma=52.37
Fractional positions:
Pm (0.000, 0.000, 0.000)
Pm (0.312, 0.812, 0.500)
Pm (0.688, 0.188, 0.500)
Al (0.500, 0.500, 0.000)
Ge (0.080, 0.374, 0.706)
Ge (0.332, 0.626, 0.706)
Ge (0.668, 0.374, 0.294)
Ge (0.920, 0.626, 0.294)



BaLi2Mg8 | PBE | relaxed

## Properties
The value obtained for the formation energy is 0.32 eV/atom.

Unit cell a=10.986 b=10.986 c=10.986 alpha=147.60 beta=147.60 gamma=46.48
Fractional positions:
Ba (0.000, 0.000, 0.000)
Li (0.250, 0.750, 0.500)
Li (0.750, 0.250, 0.500)
Mg (0.095, 0.095, 0.501)
Mg (0.095, 0.594, 0.000)
Mg (0.406, 0.406, 0.501)
Mg (0.406, 0.905, 0.000)
Mg (0.594, 0.095, 0.000)
Mg (0.594, 0.594, 0.499)
Mg (0.905, 0.406, 0.000)
Mg (0.905, 0.905, 0.499)



SmY3TmTh | PBE | relaxed

## Properties
The value obtained for the formation energy is 0.03 eV/atom.

Unit cell a=7.984 b=5.070 c=10.104 alpha=90.00 beta=108.70 gamma=90.00
Fractional positions:
Sm (0.171, 0.250, 0.293)
Sm (0.829, 0.750, 0.707)
Y (0.171, 0.750, 0.543)
Y (0.175, 0.750, 0.044)
Y (0.176, 0.250, 0.793)
Y (0.824, 0.750, 0.207)
Y (0.825, 0.250, 0.956)
Y (0.829, 0.250, 0.457)
Tm (0.500, 0.250, 0.627)
Tm (0.500, 0.750, 0.373)
Th (0.500, 0.250, 0.123)
Th (0.500, 0.750, 0.877)



In2Co | PBE | relaxed

## Properties
The value obtained for the formation energy is 0.13 eV/atom.

Unit cell a=6.229 b=6.229 c=3.154 alpha=90.00 beta=90.00 gamma=152.12
Fractional positions:
In (0.134, 0.866, 0.000)
In (0.866, 0.134, 0.000)
Co (0.500, 0.500, 0.500)



SmCu4Si2 | PBE | relaxed

## Properties
Its energy relative to the elements, uncorrected is -0.395 eV/atom. As for the polymorph energy (0 for the lowest one): 0 meV per atom.

Unit cell a=6.695 b=6.695 c=4.086 alpha=90.00 beta=90.00 gamma=144.64
Fractional positions:
Sm (0.000, 0.000, 0.000)
Cu (0.189, 0.811, 0.500)
Cu (0.312, 0.688, 0.000)
Cu (0.688, 0.312, 0.000)
Cu (0.811, 0.189, 0.500)
Si (0.405, 0.595, 0.500)
Si (0.595, 0.405, 0.500)



Ca3NdZn8 | PBE | relaxed

## Properties
The value obtained for the formation energy is -0.28 eV/atom. As for the polymorph energy (0 for the lowest one): 0 meV per atom.

Unit cell a=5.641 b=5.641 c=8.834 alpha=90.00 beta=90.00 gamma=120.00
Fractional positions:
Ca (0.000, 0.000, 0.000)
Ca (0.000, 0.000, 0.385)
Ca (0.333, 0.667, 0.885)
Nd (0.333, 0.667, 0.499)
Zn (0.336, 0.168, 0.692)
Zn (0.501, 0.002, 0.192)
Zn (0.501, 0.499, 0.192)
Zn (0.667, 0.333, 0.443)
Zn (0.667, 0.333, 0.944)
Zn (0.832, 0.168, 0.692)
Zn (0.832, 0.664, 0.692)
Zn (0.998, 0.499, 0.192)



Li2CrCo | PBE | relaxed

## Properties
The value obtained for the formation energy is 0.38 eV/atom. As for the polymorph energy (0 for the lowest one): 122 meV per atom.

Unit cell a=5.021 b=5.021 c=5.021 alpha=140.84 beta=140.84 gamma=56.59
Fractional positions:
Li (0.250, 0.750, 0.500)
Li (0.750, 0.250, 0.500)
Cr (0.000, 0.000, 0.000)
Co (0.500, 0.500, 0.000)



ZnHgH | PBE | relaxed

## Properties
For the total energy, the calculation gives -1.5215 eV per atom.

Unit cell a=2.876 b=4.547 c=8.759 alpha=103.70 beta=99.10 gamma=94.28
Fractional positions:
Zn (0.250, 0.250, 0.000)
Zn (0.750, 0.750, 0.000)
Hg (0.098, 0.588, 0.688)
Hg (0.902, 0.412, 0.312)
H (0.479, 0.914, 0.494)
H (0.521, 0.086, 0.506)



| no. | density of states at the Fermi level (states/eV per cell) |
| --- | --- |
| 1 | 18.74 |
| 2 | 36.45 |
| 3 | 1.45 |
| 4 | 11.94 |
| 5 | 1.59 |
| 6 | 4.14 |
| 7 | 2.28 |
| 8 | 4.80 |
| 9 | 6.12 |
| 10 | 1.97 |
| 11 | 3.95 |
| 12 | 1.48 |
| 13 | 2.30 |
| 14 | 8.23 |
| 15 | 18.97 |
| 16 | 1.88 |
| 17 | 2.18 |
| 18 | 7.04 |
| 19 | 3.90 |
| 20 | 0.57 |